1.
Computed, not measured: a relaxed U2Tc3Ge2 crystal at the GGA-PBE level of DFT.

It has space group C2/m (No. 12), with a = 12.713 Å, b = 4.408 Å, c = 4.934 Å, α = 90.00°, β = 94.19° and γ = 90.00°. Symmetry generates all atoms from U at (0.147, 0.000, 0.379), Tc at (0.000, 0.000, 0.000), Tc at (0.212, 0.000, 0.821) and Ge at (0.100, 0.500, 0.885).

Its magnetic moment is 0.001 μB/f.u. The density of states at the Fermi level is 0.6036 states/eV per atom. The formation energy comes out at -0.178 eV per atom.

=====

2.
Computed, not measured: a relaxed Hf2SiMoAu crystal at the GGA-PBE level of DFT.

It has space group P4/mmm (No. 123), with a = 5.126 Å, b = 5.126 Å, c = 4.382 Å, α = 90.00°, β = 90.00° and γ = 90.00°. Symmetry generates all atoms from Hf at (0.000, 0.500, 0.000), Si at (0.000, 0.000, 0.500), Mo at (0.500, 0.500, 0.500) and Au at (0.000, 0.000, 0.000).

Its magnetic moment is 0.000 μB/f.u. The density of states at the Fermi level is 1.0832 states/eV per atom. The energy relative to the elements, uncorrected is 545.9 kJ/mol of formula units.